No. 1
Computed, not measured: an optimized crystal structure of Pr3BiC at the GGA-PBE level of DFT.

Summary:
Total magnetization: 0.00 μB/cell
Calculated total energy: -58.8 eV for the cell shown
Excess energy over the best structure of this formula in the dataset: 46 meV/atom

CIF file:
```
data_Pr3BiC
_chemical_formula_sum 'Pr6 Bi2 C2'
_space_group_name_H-M_alt 'P 1 21/m 1'
_space_group_IT_number 11
_space_group_name_Hall '-P 2yb'
_cell_length_a 5.1044
_cell_length_b 5.0382
_cell_length_c 11.8572
_cell_angle_alpha 90.00
_cell_angle_beta 102.40
_cell_angle_gamma 90.00
loop_
_atom_site_label
_atom_site_type_symbol
_atom_site_fract_x
_atom_site_fract_y
_atom_site_fract_z
_atom_site_occupancy
Pr1 Pr 0.0574 0.2500 0.1150 1
Pr2 Pr 0.1821 0.7500 0.3650 1
Pr3 Pr 0.4313 0.2500 0.8624 1
Bi1 Bi 0.3300 0.7500 0.6592 1
C1 C 0.0776 0.7500 0.1554 1
```

No. 2
Computed, not measured: an optimized crystal structure of Ni3PtAu at the GGA-PBE level of DFT.

Summary:
Total magnetization: 3.12 μB/cell
Calculated total energy: -21.1 eV for the cell shown
Excess energy over the best structure of this formula in the dataset: 0 meV/atom

CIF file:
```
data_Ni3PtAu
_chemical_formula_sum 'Ni3 Pt1 Au1'
_space_group_name_H-M_alt 'P m -3 m'
_space_group_IT_number 221
_space_group_name_Hall '-P 4 2 3'
_cell_length_a 4.5765
_cell_length_b 4.5765
_cell_length_c 4.5765
_cell_angle_alpha 90.00
_cell_angle_beta 90.00
_cell_angle_gamma 90.00
loop_
_atom_site_label
_atom_site_type_symbol
_atom_site_fract_x
_atom_site_fract_y
_atom_site_fract_z
_atom_site_occupancy
Ni1 Ni 0.0000 0.0000 0.5000 1
Pt1 Pt 0.0000 0.0000 0.0000 1
Au1 Au 0.5000 0.5000 0.5000 1
```

No. 3
Computed, not measured: an optimized crystal structure of Ni23Pt6Rh at the GGA-PBE level of DFT.

Summary:
Total magnetization: 70.36 μB/cell
Calculated total energy: -696.5 eV for the cell shown

CIF file:
```
data_Ni23Pt6Rh
_chemical_formula_sum 'Ni92 Pt24 Rh4'
_space_group_name_H-M_alt 'F m -3 m'
_space_group_IT_number 225
_space_group_name_Hall '-F 4 2 3'
_cell_length_a 11.3784
_cell_length_b 11.3784
_cell_length_c 11.3784
_cell_angle_alpha 90.00
_cell_angle_beta 90.00
_cell_angle_gamma 90.00
loop_
_atom_site_label
_atom_site_type_symbol
_atom_site_fract_x
_atom_site_fract_y
_atom_site_fract_z
_atom_site_occupancy
Ni1 Ni 0.0000 0.0000 0.0000 1
Ni2 Ni 0.0000 0.2500 0.2500 1
Ni3 Ni 0.1237 0.1237 0.1237 1
Ni4 Ni 0.1621 0.1621 0.3379 1
Pt1 Pt 0.0000 0.0000 0.2671 1
Rh1 Rh 0.0000 0.0000 0.5000 1
```

No. 4
Computed, not measured: an optimized crystal structure of KAcCl2O at the GGA-PBE level of DFT.

Summary:
Total magnetization: 0.00 μB/cell
Formation energy from raw total energies: -2.63 eV/atom
Calculated total energy: -54.0 eV for the cell shown

CIF file:
```
data_KAcCl2O
_chemical_formula_sum 'K2 Ac2 Cl4 O2'
_space_group_name_H-M_alt 'P 4/n m m'
_space_group_IT_number 129
_cell_length_a 4.2892
_cell_length_b 4.2892
_cell_length_c 14.1550
_cell_angle_alpha 90.00
_cell_angle_beta 90.00
_cell_angle_gamma 90.00
loop_
_space_group_symop_operation_xyz
'x,y,z'
'-x,-y,-z'
'-y+1/2,x,z'
'y+1/2,-x,-z'
'-x+1/2,-y+1/2,z'
'x+1/2,y+1/2,-z'
'y,-x+1/2,z'
'-y,x+1/2,-z'
'x+1/2,-y,-z'
'-x+1/2,y,z'
'-y,-x,-z'
'y,x,z'
'-x,y+1/2,-z'
'x,-y+1/2,z'
'y+1/2,x+1/2,-z'
'-y+1/2,-x+1/2,z'
loop_
_atom_site_label
_atom_site_type_symbol
_atom_site_fract_x
_atom_site_fract_y
_atom_site_fract_z
_atom_site_occupancy
K1 K 0.2500 0.2500 0.1029 1
Ac1 Ac 0.2500 0.2500 0.5898 1
Cl1 Cl 0.2500 0.2500 0.3190 1
Cl2 Cl 0.2500 0.2500 0.8731 1
O1 O 0.2500 0.7500 0.5000 1
```

No. 5
Computed, not measured: an optimized crystal structure of SrTa3Ti at the GGA-PBE level of DFT.

Summary:
Total magnetization: 0.00 μB/cell
Calculated total energy: -38.6 eV for the cell shown
Excess energy over the best structure of this formula in the dataset: 0 meV/atom

CIF file:
```
data_SrTa3Ti
_chemical_formula_sum 'Sr1 Ta3 Ti1'
_space_group_name_H-M_alt 'P m -3 m'
_space_group_IT_number 221
_space_group_name_Hall '-P 4 2 3'
_cell_length_a 4.9198
_cell_length_b 4.9198
_cell_length_c 4.9198
_cell_angle_alpha 90.00
_cell_angle_beta 90.00
_cell_angle_gamma 90.00
loop_
_atom_site_label
_atom_site_type_symbol
_atom_site_fract_x
_atom_site_fract_y
_atom_site_fract_z
_atom_site_occupancy
Sr1 Sr 0.0000 0.0000 0.0000 1
Ta1 Ta 0.0000 0.5000 0.5000 1
Ti1 Ti 0.5000 0.5000 0.5000 1
```

No. 6
Computed, not measured: an optimized crystal structure of BaSm2Ga6 at the GGA-PBE level of DFT.

Summary:
Total magnetization: 0.00 μB/cell
Calculated total energy: -34.4 eV for the cell shown

CIF file:
```
data_BaSm2Ga6
_chemical_formula_sum 'Ba1 Sm2 Ga6'
_space_group_name_H-M_alt 'P 6/m m m'
_space_group_IT_number 191
_space_group_name_Hall '-P 6 2'
_cell_length_a 7.5113
_cell_length_b 7.5113
_cell_length_c 4.4785
_cell_angle_alpha 90.00
_cell_angle_beta 90.00
_cell_angle_gamma 120.00
loop_
_atom_site_label
_atom_site_type_symbol
_atom_site_fract_x
_atom_site_fract_y
_atom_site_fract_z
_atom_site_occupancy
Ba1 Ba 0.0000 0.0000 0.0000 1
Sm1 Sm 0.3333 0.6667 0.0000 1
Ga1 Ga 0.0000 0.3389 0.5000 1
```

Question: Which value of calculated total energy does entry 5 give?
Answer: -38.6 eV for the cell shown